[1]
Below is a relaxed VGaTe2I crystal, with properties calculated at the PBE level.

electronic total energy = -15.50 eV for the cell shown
ΔE to the lowest computed polymorph = 855 meV per atom
SG = P4/mmm, No. 123

abc: 5.330 5.330 5.372
angles: 90.00 90.00 90.00
Site moments in Bohr magnetons follow the coordinates.
Sites, in units of the cell vectors:
I  0.000  0.000  0.500  -0.02
V  0.500  0.500  0.500  -0.17
Te  0.000  0.500  0.000  0.03
Te  0.500  0.000  0.000  0.03
Ga  0.000  0.000  0.000  0.00

[2]
Below is a relaxed VGaTe2I crystal, with properties calculated at the PBE level.

electronic total energy = -19.77 eV for the cell shown
ΔE to the lowest computed polymorph = 0 meV per atom
SG = P4/mmm, No. 123

abc: 5.145 5.145 5.914
angles: 90.00 90.00 90.00
Site moments in Bohr magnetons follow the coordinates.
Sites, in units of the cell vectors:
V  0.000  0.000  0.000  1.74
I  0.000  0.000  0.500  -0.03
Te  0.500  0.000  0.000  -0.14
Te  0.000  0.500  0.000  -0.14
Ga  0.500  0.500  0.500  0.01

[3]
Below is a relaxed GaTeWI2 crystal, with properties calculated at the PBE level.

electronic total energy = -15.87 eV for the cell shown
ΔE to the lowest computed polymorph = 774 meV per atom
SG = P4/mmm, No. 123

abc: 5.416 5.416 5.642
angles: 90.00 90.00 90.00
Site moments in Bohr magnetons follow the coordinates.
Sites, in units of the cell vectors:
W  0.500  0.500  0.500  3.37
I  0.500  0.000  0.000  -0.02
I  0.000  0.500  0.000  -0.02
Te  0.000  0.000  0.500  -0.24
Ga  0.000  0.000  0.000  -0.01

[4]
Below is a relaxed GaTeWI2 crystal, with properties calculated at the PBE level.

electronic total energy = -19.74 eV for the cell shown
ΔE to the lowest computed polymorph = 0 meV per atom
SG = P4/mmm, No. 123

abc: 5.763 5.763 5.262
angles: 90.00 90.00 90.00
Site moments in Bohr magnetons follow the coordinates.
Sites, in units of the cell vectors:
I  0.000  0.500  0.000  0.03
I  0.500  0.000  0.000  0.03
W  0.000  0.000  0.000  1.82
Te  0.000  0.000  0.500  -0.05
Ga  0.500  0.500  0.500  0.03